Record 1
# Y2Mg2ScPd5, relaxed, DFT PBE-GGA
# **ΔE_f**: -0.694 eV per atom
data_Y2Mg2ScPd5
_cell_length_a 10.306
_cell_length_b 10.306
_cell_length_c 3.609
_cell_angle_alpha 90.00
_cell_angle_beta 90.00
_cell_angle_gamma 90.00
_symmetry_space_group_name_H-M 'P 4/m b m'
_symmetry_Int_Tables_number 127
_symmetry_space_group_name_Hall '-P 4 2ab'
loop_
_atom_site_label
_atom_site_fract_x
_atom_site_fract_y
_atom_site_fract_z
_atom_site_occupancy
Y1 0.174 0.326 0.000 1
Mg1 0.125 0.625 0.000 1
Sc1 0.000 0.000 0.000 1
Pd1 0.000 0.500 0.500 1
Pd2 0.056 0.799 0.500 1

***

Record 2
# Sm3Er3Tl2, relaxed, DFT PBE-GGA
# **ΔE_f**: -0.108 eV per atom
# **Excess energy over the best structure of this formula in the dataset**: 72.8 meV per atom
data_Sm3Er3Tl2
_cell_length_a 5.106
_cell_length_b 11.925
_cell_length_c 16.368
_cell_angle_alpha 90.00
_cell_angle_beta 90.00
_cell_angle_gamma 90.00
_symmetry_space_group_name_H-M 'C m c m'
_symmetry_Int_Tables_number 63
_symmetry_space_group_name_Hall '-C 2c 2'
loop_
_atom_site_label
_atom_site_fract_x
_atom_site_fract_y
_atom_site_fract_z
_atom_site_occupancy
Sm1 0.000 0.044 0.104 1
Sm2 0.000 0.275 0.250 1
Er1 0.000 0.364 0.038 1
Er2 0.000 0.443 0.750 1
Tl1 0.000 0.235 0.629 1

***

Record 3
# LaSm3Ho2, relaxed, DFT PBE-GGA
# **ΔE_f**: 0.318 eV per atom
# **Excess energy over the best structure of this formula in the dataset**: 251.9 meV per atom
data_LaSm3Ho2
_cell_length_a 3.484
_cell_length_b 5.956
_cell_length_c 19.787
_cell_angle_alpha 90.00
_cell_angle_beta 90.00
_cell_angle_gamma 90.00
_symmetry_space_group_name_H-M 'I m m m'
_symmetry_Int_Tables_number 71
_symmetry_space_group_name_Hall '-I 2 2'
loop_
_atom_site_label
_atom_site_fract_x
_atom_site_fract_y
_atom_site_fract_z
_atom_site_occupancy
La1 0.000 0.000 0.000 1
Sm1 0.000 0.000 0.193 1
Sm2 0.000 0.500 0.000 1
Ho1 0.000 0.000 0.362 1

***

Record 4
# BaCdIn2O, relaxed, DFT PBE-GGA
# **Excess energy over the best structure of this formula in the dataset**: 1744.2 meV per atom
# **Formation energy from raw total energies**: 5.61 eV per formula unit
data_BaCdIn2O
_cell_length_a 6.707
_cell_length_b 6.707
_cell_length_c 6.555
_cell_angle_alpha 90.00
_cell_angle_beta 90.00
_cell_angle_gamma 90.00
_symmetry_space_group_name_H-M 'P 4/m m m'
_symmetry_Int_Tables_number 123
_symmetry_space_group_name_Hall '-P 4 2'
loop_
_atom_site_label
_atom_site_fract_x
_atom_site_fract_y
_atom_site_fract_z
_atom_site_occupancy
Ba1 0.000 0.000 0.000 1
Cd1 0.000 0.000 0.500 1
In1 0.000 0.500 0.000 1
O1 0.500 0.500 0.500 1

***

Record 5
# GdAlIn2, relaxed, DFT PBE-GGA
# **ΔE_f**: -0.190 eV per atom
data_GdAlIn2
_cell_length_a 4.6497
_cell_length_b 4.6497
_cell_length_c 16.0658
_cell_angle_alpha 90.00
_cell_angle_beta 90.00
_cell_angle_gamma 120.00
_symmetry_space_group_name_H-M 'R -3 m'
_symmetry_Int_Tables_number 166
_symmetry_space_group_name_Hall '-R 3 2"'
loop_
_atom_site_label
_atom_site_fract_x
_atom_site_fract_y
_atom_site_fract_z
_atom_site_occupancy
Gd1 0.0000 0.0000 0.0000 1
Al1 0.0000 0.0000 0.5000 1
In1 0.0000 0.0000 0.2283 1

***

Record 6
# K2PmSbS4, relaxed, DFT PBE-GGA
# **Formation energy from raw total energies**: -10.04 eV per formula unit
data_K2PmSbS4
_cell_length_a 8.440
_cell_length_b 8.496
_cell_length_c 11.979
_cell_angle_alpha 90.00
_cell_angle_beta 90.00
_cell_angle_gamma 90.00
_symmetry_space_group_name_H-M 'I m m a'
_symmetry_Int_Tables_number 74
_symmetry_space_group_name_Hall '-I 2b 2'
loop_
_atom_site_label
_atom_site_fract_x
_atom_site_fract_y
_atom_site_fract_z
_atom_site_occupancy
K1 0.000 0.000 0.000 1
K2 0.250 0.250 0.250 1
Pm1 0.000 0.000 0.500 1
Sb1 0.250 0.250 0.750 1
S1 0.000 0.029 0.737 1
S2 0.224 0.250 0.516 1

***

no.,energy (eV/cell)
1,-110.70
2,-133.78
3,-52.67
4,-7.67
5,-72.18
6,-150.49